# LiZnTe2I

LiZnTe2I after structural relaxation (GGA-PBE, Alexandria).

Geometry as POSCAR:
```
LiZnTe2I
1.0
5.199 0.000 0.000
0.000 5.199 0.000
0.000 0.000 5.438
Li Zn Te I
1 1 2 1
Direct
0.000 0.000 0.000 Li
0.500 0.500 0.500 Zn
0.000 0.500 0.000 Te
0.500 0.000 0.000 Te
0.000 0.000 0.500 I
```

Relative energy among the computed polymorphs = 283 meV per atom
Size of the total moment = 0.00 μB per formula unit
Volume = 147 Å³ per cell

# Rb2AsI6Br

Rb2AsI6Br after structural relaxation (GGA-PBE, Alexandria).

Geometry as POSCAR:
```
Rb2AsI6Br
1.0
-4.409 4.409 5.730
4.409 -4.409 5.730
4.409 4.409 -5.730
Rb As I Br
2 1 6 1
Direct
0.250 0.750 0.500 Rb
0.750 0.250 0.500 Rb
0.000 0.000 0.000 As
0.228 0.228 0.456 I
0.228 0.772 0.000 I
0.246 0.246 0.000 I
0.754 0.754 0.000 I
0.772 0.228 0.000 I
0.772 0.772 0.544 I
0.500 0.500 0.000 Br
```

Raw total energy = -2.35 eV/atom
Size of the total moment = 0.00 μB per formula unit
Volume = 446 Å³ per cell

Which value of volume does entry 2 give? 446 Å³ per cell